Material: Ag2Pd3Au2
Method: DFT, PBE
State: optimized geometry

Values from the calculation:
energy of formation	0.1349	eV per atom
final energy	-3.84	eV per atom
theoretical density	12.0	g cm⁻³
size of the total moment	0.000	μB per formula unit
energy above the most stable polymorph in this dataset	84	meV per atom
SG	No. 199

a b c (Å): 6.939 6.939 6.939
angles (deg): 109.47 109.47 109.47
Atoms (fractional coordinates):
1 Ag 0.000 0.831 0.500
2 Ag 0.500 0.000 0.831
3 Ag 0.669 0.669 0.669
4 Ag 0.831 0.500 0.000
5 Pd 0.214 0.750 0.964
6 Pd 0.250 0.536 0.286
7 Pd 0.286 0.250 0.536
8 Pd 0.536 0.286 0.250
9 Pd 0.750 0.964 0.214
10 Pd 0.964 0.214 0.750
11 Au 0.000 0.444 0.500
12 Au 0.056 0.056 0.056
13 Au 0.444 0.500 0.000
14 Au 0.500 0.000 0.444


Material: Ag2Pd9Au
Method: DFT, PBE
State: optimized geometry

Values from the calculation:
energy of formation	-0.0264	eV per atom
final energy	-4.67	eV per atom
theoretical density	11.9	g cm⁻³
size of the total moment	0.001	μB per formula unit
SG	No. 123

a b c (Å): 3.996 3.996 12.000
angles (deg): 90.00 90.00 90.00
Atoms (fractional coordinates):
1 Ag 0.000 0.000 0.166
2 Ag 0.000 0.000 0.834
3 Pd 0.000 0.500 0.000
4 Pd 0.000 0.500 0.333
5 Pd 0.000 0.500 0.667
6 Pd 0.500 0.000 0.000
7 Pd 0.500 0.000 0.333
8 Pd 0.500 0.000 0.667
9 Pd 0.500 0.500 0.166
10 Pd 0.500 0.500 0.500
11 Pd 0.500 0.500 0.834
12 Au 0.000 0.000 0.500


Material: Ag2Pd6Au
Method: DFT, PBE
State: optimized geometry

Values from the calculation:
energy of formation	-0.0284	eV per atom
final energy	-4.49	eV per atom
theoretical density	12.0	g cm⁻³
size of the total moment	0.000	μB per formula unit
SG	No. 69

a b c (Å): 8.529 6.405 6.303
angles (deg): 84.31 48.35 47.34
Atoms (fractional coordinates):
1 Ag 0.167 0.833 0.167
2 Ag 0.833 0.167 0.833
3 Pd 0.163 0.497 0.503
4 Pd 0.169 0.169 0.831
5 Pd 0.497 0.163 0.837
6 Pd 0.503 0.837 0.163
7 Pd 0.831 0.831 0.169
8 Pd 0.837 0.503 0.497
9 Au 0.500 0.500 0.500


Material: Ag6Pd4Au
Method: DFT, PBE
State: optimized geometry

Values from the calculation:
energy of formation	0.1830	eV per atom
final energy	-3.56	eV per atom
theoretical density	10.2	g cm⁻³
size of the total moment	0.000	μB per formula unit
energy above the most stable polymorph in this dataset	0	meV per atom
SG	No. 121

a b c (Å): 8.021 8.021 8.021
angles (deg): 140.62 140.62 56.92
Atoms (fractional coordinates):
1 Ag 0.000 0.500 0.500
2 Ag 0.047 0.669 0.000
3 Ag 0.331 0.331 0.377
4 Ag 0.500 0.000 0.500
5 Ag 0.669 0.047 0.000
6 Ag 0.953 0.953 0.623
7 Pd 0.143 0.143 0.618
8 Pd 0.475 0.857 0.000
9 Pd 0.525 0.525 0.382
10 Pd 0.857 0.475 0.000
11 Au 0.500 0.500 0.000


Material: Ag3PdAu6
Method: DFT, PBE
State: optimized geometry

Values from the calculation:
energy of formation	0.0097	eV per atom
final energy	-3.33	eV per atom
theoretical density	14.8	g cm⁻³
size of the total moment	0.000	μB per formula unit
energy above the most stable polymorph in this dataset	0	meV per atom
SG	No. 11

a b c (Å): 10.039 2.862 12.982
angles (deg): 90.00 104.11 90.00
Atoms (fractional coordinates):
1 Ag 0.113 0.250 0.372
2 Ag 0.125 0.250 0.982
3 Ag 0.370 0.750 0.327
4 Ag 0.630 0.250 0.673
5 Ag 0.875 0.750 0.018
6 Ag 0.887 0.750 0.628
7 Pd 0.382 0.250 0.739
8 Pd 0.618 0.750 0.261
9 Au 0.121 0.250 0.766
10 Au 0.129 0.750 0.174
11 Au 0.156 0.750 0.577
12 Au 0.357 0.750 0.928
13 Au 0.379 0.250 0.521
14 Au 0.386 0.250 0.134
15 Au 0.614 0.750 0.866
16 Au 0.621 0.750 0.479
17 Au 0.643 0.250 0.072
18 Au 0.844 0.250 0.423
19 Au 0.871 0.250 0.826
20 Au 0.879 0.750 0.234


Material: Ag2Pd6Au3
Method: DFT, PBE
State: optimized geometry

Values from the calculation:
energy of formation	0.0831	eV per atom
final energy	-4.16	eV per atom
theoretical density	12.6	g cm⁻³
size of the total moment	0.000	μB per formula unit
SG	No. 2

a b c (Å): 5.605 5.610 6.629
angles (deg): 75.04 75.22 75.03
Atoms (fractional coordinates):
1 Ag 0.156 0.400 0.333
2 Ag 0.844 0.600 0.667
3 Pd 0.156 0.885 0.341
4 Pd 0.354 0.528 0.689
5 Pd 0.450 0.790 0.959
6 Pd 0.550 0.210 0.041
7 Pd 0.646 0.472 0.311
8 Pd 0.844 0.115 0.659
9 Au 0.052 0.235 0.987
10 Au 0.500 0.000 0.500
11 Au 0.948 0.765 0.013


Material: Ag7PdAu2
Method: DFT, PBE
State: optimized geometry

Values from the calculation:
energy of formation	0.1631	eV per atom
final energy	-3.01	eV per atom
theoretical density	10.1	g cm⁻³
size of the total moment	0.000	μB per formula unit
SG	No. 65

a b c (Å): 9.347 9.347 2.787
angles (deg): 90.00 90.00 122.23
Atoms (fractional coordinates):
1 Ag 0.000 0.000 0.000
2 Ag 0.184 0.361 0.000
3 Ag 0.322 0.678 0.500
4 Ag 0.361 0.184 0.000
5 Ag 0.639 0.816 0.000
6 Ag 0.678 0.322 0.500
7 Ag 0.816 0.639 0.000
8 Pd 0.500 0.500 0.500
9 Au 0.173 0.827 0.000
10 Au 0.827 0.173 0.000


Material: AgPd5Au6
Method: DFT, PBE
State: optimized geometry

Values from the calculation:
energy of formation	-0.0793	eV per atom
final energy	-4.12	eV per atom
theoretical density	15.0	g cm⁻³
size of the total moment	0.000	μB per formula unit
energy above the most stable polymorph in this dataset	0	meV per atom
SG	No. 12

a b c (Å): 6.439 6.439 8.077
angles (deg): 90.03 90.03 142.91
Atoms (fractional coordinates):
1 Ag 0.000 0.000 0.000
2 Pd 0.000 0.000 0.500
3 Pd 0.333 0.667 0.000
4 Pd 0.333 0.667 0.500
5 Pd 0.667 0.333 0.000
6 Pd 0.667 0.333 0.500
7 Au 0.167 0.832 0.251
8 Au 0.168 0.833 0.749
9 Au 0.500 0.500 0.253
10 Au 0.500 0.500 0.747
11 Au 0.832 0.167 0.251
12 Au 0.833 0.168 0.749


Material: AgPdAu
Method: DFT, PBE
State: optimized geometry

Values from the calculation:
energy of formation	-0.0311	eV per atom
final energy	-3.80	eV per atom
theoretical density	13.3	g cm⁻³
size of the total moment	0.000	μB per formula unit
energy above the most stable polymorph in this dataset	28	meV per atom
SG	No. 12

a b c (Å): 7.590 4.814 5.690
angles (deg): 90.00 97.66 90.00
Atoms (fractional coordinates):
1 Ag 0.167 0.000 0.416
2 Ag 0.333 0.500 0.584
3 Ag 0.667 0.500 0.416
4 Ag 0.833 0.000 0.584
5 Pd 0.001 0.500 0.751
6 Pd 0.499 0.000 0.249
7 Pd 0.501 0.000 0.751
8 Pd 0.999 0.500 0.249
9 Au 0.168 0.000 0.915
10 Au 0.332 0.500 0.085
11 Au 0.668 0.500 0.915
12 Au 0.832 0.000 0.085


Material: AgPd5Au5
Method: DFT, PBE
State: optimized geometry

Values from the calculation:
energy of formation	0.0740	eV per atom
final energy	-4.04	eV per atom
theoretical density	13.8	g cm⁻³
size of the total moment	0.000	μB per formula unit
SG	No. 2

a b c (Å): 5.037 5.609 7.197
angles (deg): 85.08 75.58 83.40
Atoms (fractional coordinates):
1 Ag 0.000 0.000 0.000
2 Pd 0.000 0.000 0.500
3 Pd 0.157 0.578 0.325
4 Pd 0.325 0.640 0.655
5 Pd 0.675 0.360 0.345
6 Pd 0.843 0.422 0.675
7 Au 0.000 0.500 0.000
8 Au 0.402 0.133 0.674
9 Au 0.482 0.246 0.039
10 Au 0.518 0.754 0.961
11 Au 0.598 0.867 0.326


Material: Ag5Pd2Au3
Method: DFT, PBE
State: optimized geometry

Values from the calculation:
energy of formation	0.2407	eV per atom
final energy	-3.21	eV per atom
theoretical density	11.4	g cm⁻³
size of the total moment	0.000	μB per formula unit
energy above the most stable polymorph in this dataset	166	meV per atom
SG	No. 72

a b c (Å): 9.098 9.098 9.098
angles (deg): 108.38 81.71 145.98
Atoms (fractional coordinates):
1 Ag 0.156 0.117 0.274
2 Ag 0.250 0.002 0.752
3 Ag 0.250 0.250 0.000
4 Ag 0.250 0.498 0.248
5 Ag 0.344 0.617 0.961
6 Ag 0.656 0.383 0.039
7 Ag 0.750 0.502 0.752
8 Ag 0.750 0.750 0.000
9 Ag 0.750 0.998 0.248
10 Ag 0.844 0.883 0.726
11 Pd 0.152 0.621 0.773
12 Pd 0.348 0.121 0.469
13 Pd 0.652 0.879 0.531
14 Pd 0.848 0.379 0.227
15 Au 0.239 0.367 0.606
16 Au 0.250 0.750 0.500
17 Au 0.261 0.867 0.129
18 Au 0.739 0.133 0.871
19 Au 0.750 0.250 0.500
20 Au 0.761 0.633 0.394


Material: Ag2PdAu2
Method: DFT, PBE
State: optimized geometry

Values from the calculation:
energy of formation	0.1524	eV per atom
final energy	-3.34	eV per atom
theoretical density	12.8	g cm⁻³
size of the total moment	0.000	μB per formula unit
energy above the most stable polymorph in this dataset	212	meV per atom
SG	No. 127

a b c (Å): 7.871 7.871 2.992
angles (deg): 90.00 90.00 90.00
Atoms (fractional coordinates):
1 Ag 0.128 0.372 0.000
2 Ag 0.372 0.872 0.000
3 Ag 0.628 0.128 0.000
4 Ag 0.872 0.628 0.000
5 Pd 0.000 0.000 0.000
6 Pd 0.500 0.500 0.000
7 Au 0.170 0.670 0.500
8 Au 0.330 0.170 0.500
9 Au 0.670 0.830 0.500
10 Au 0.830 0.330 0.500